# Sm6Ir2RhCl3, relaxed, DFT GGA-PBE
data_Sm6Ir2RhCl3
_symmetry_space_group_name_H-M 'P 1'
_symmetry_Int_Tables_number 1
_symmetry_space_group_name_Hall 'P 1'
_cell_length_a 7.051
_cell_length_b 7.051
_cell_length_c 7.841
_cell_angle_alpha 98.61
_cell_angle_beta 98.61
_cell_angle_gamma 120.01
loop_
_atom_site_label
_atom_site_fract_x
_atom_site_fract_y
_atom_site_fract_z
Sm1 0.098 0.432 0.797
Sm2 0.234 0.234 0.203
Sm3 0.432 0.098 0.797
Sm4 0.568 0.902 0.203
Sm5 0.766 0.766 0.797
Sm6 0.902 0.568 0.203
Ir1 0.167 0.833 0.000
Ir2 0.833 0.167 0.000
Rh1 0.500 0.500 0.000
Cl1 0.000 0.000 0.500
Cl2 0.333 0.667 0.500
Cl3 0.667 0.333 0.500
# formation energy from raw total energies = -1.1976 eV/atom
# total magnetization = 0.00 μB per formula unit
# symmetry = No. 12
# DOS(E_F) = 3.373 states/eV/cell

---

# Sm6IrRh2Cl3, relaxed, DFT GGA-PBE
data_Sm6IrRh2Cl3
_symmetry_space_group_name_H-M 'P 1'
_symmetry_Int_Tables_number 1
_symmetry_space_group_name_Hall 'P 1'
_cell_length_a 7.018
_cell_length_b 7.018
_cell_length_c 7.857
_cell_angle_alpha 98.56
_cell_angle_beta 98.56
_cell_angle_gamma 120.01
loop_
_atom_site_label
_atom_site_fract_x
_atom_site_fract_y
_atom_site_fract_z
Sm1 0.068 0.401 0.204
Sm2 0.265 0.265 0.796
Sm3 0.401 0.068 0.204
Sm4 0.599 0.932 0.796
Sm5 0.735 0.735 0.204
Sm6 0.932 0.599 0.796
Ir1 0.000 0.000 0.000
Rh1 0.333 0.667 0.000
Rh2 0.667 0.333 0.000
Cl1 0.167 0.833 0.500
Cl2 0.500 0.500 0.500
Cl3 0.833 0.167 0.500
# formation energy from raw total energies = -1.1911 eV/atom
# total magnetization = 0.00 μB per formula unit
# symmetry = No. 12
# DOS(E_F) = 3.204 states/eV/cell

---

# Sr2IrRhCl, relaxed, DFT GGA-PBE
data_Sr2IrRhCl
_symmetry_space_group_name_H-M 'P 1'
_symmetry_Int_Tables_number 1
_symmetry_space_group_name_Hall 'P 1'
_cell_length_a 5.691
_cell_length_b 5.691
_cell_length_c 4.448
_cell_angle_alpha 90.00
_cell_angle_beta 90.00
_cell_angle_gamma 90.00
loop_
_atom_site_label
_atom_site_fract_x
_atom_site_fract_y
_atom_site_fract_z
Sr1 0.000 0.500 0.000
Sr2 0.500 0.000 0.000
Ir1 0.000 0.000 0.500
Rh1 0.500 0.500 0.000
Cl1 0.500 0.500 0.500
# formation energy from raw total energies = 0.1216 eV/atom
# total magnetization = 1.00 μB per formula unit
# symmetry = No. 123
# DOS(E_F) = 2.630 states/eV/cell

---

# Ti2IrRhCl, relaxed, DFT GGA-PBE
data_Ti2IrRhCl
_symmetry_space_group_name_H-M 'P 1'
_symmetry_Int_Tables_number 1
_symmetry_space_group_name_Hall 'P 1'
_cell_length_a 4.777
_cell_length_b 4.777
_cell_length_c 4.606
_cell_angle_alpha 90.00
_cell_angle_beta 90.00
_cell_angle_gamma 90.00
loop_
_atom_site_label
_atom_site_fract_x
_atom_site_fract_y
_atom_site_fract_z
Ti1 0.000 0.500 0.000
Ti2 0.500 0.000 0.000
Ir1 0.000 0.000 0.000
Rh1 0.500 0.500 0.500
Cl1 0.000 0.000 0.500
# formation energy from raw total energies = 0.7990 eV/atom
# total magnetization = 0.00 μB per formula unit
# symmetry = No. 123
# DOS(E_F) = 5.821 states/eV/cell

---

# VIrRhCl2, relaxed, DFT GGA-PBE
data_VIrRhCl2
_symmetry_space_group_name_H-M 'P 1'
_symmetry_Int_Tables_number 1
_symmetry_space_group_name_Hall 'P 1'
_cell_length_a 4.639
_cell_length_b 4.639
_cell_length_c 4.850
_cell_angle_alpha 90.00
_cell_angle_beta 90.00
_cell_angle_gamma 90.00
loop_
_atom_site_label
_atom_site_fract_x
_atom_site_fract_y
_atom_site_fract_z
V1 0.000 0.000 0.000
Ir1 0.000 0.000 0.500
Rh1 0.500 0.500 0.000
Cl1 0.000 0.500 0.500
Cl2 0.500 0.000 0.500
# formation energy from raw total energies = 1.1778 eV/atom
# total magnetization = 0.86 μB per formula unit
# symmetry = No. 123
# DOS(E_F) = 8.095 states/eV/cell

---

# IrRu3Cl, relaxed, DFT GGA-PBE
data_IrRu3Cl
_symmetry_space_group_name_H-M 'P 1'
_symmetry_Int_Tables_number 1
_symmetry_space_group_name_Hall 'P 1'
_cell_length_a 4.789
_cell_length_b 4.789
_cell_length_c 4.789
_cell_angle_alpha 90.00
_cell_angle_beta 90.00
_cell_angle_gamma 90.00
loop_
_atom_site_label
_atom_site_fract_x
_atom_site_fract_y
_atom_site_fract_z
Ir1 0.000 0.000 0.000
Ru1 0.000 0.000 0.500
Ru2 0.000 0.500 0.000
Ru3 0.500 0.000 0.000
Cl1 0.500 0.500 0.500
# formation energy from raw total energies = 1.8141 eV/atom
# total magnetization = 4.40 μB per formula unit
# symmetry = No. 221
# DOS(E_F) = 8.062 states/eV/cell
# energy relative to the lowest polymorph listed for this composition = 220 kJ/mol of formula units

---

# Ir2RuCl, relaxed, DFT GGA-PBE
data_Ir2RuCl
_symmetry_space_group_name_H-M 'P 1'
_symmetry_Int_Tables_number 1
_symmetry_space_group_name_Hall 'P 1'
_cell_length_a 2.737
_cell_length_b 4.171
_cell_length_c 11.292
_cell_angle_alpha 90.00
_cell_angle_beta 90.00
_cell_angle_gamma 90.00
loop_
_atom_site_label
_atom_site_fract_x
_atom_site_fract_y
_atom_site_fract_z
Ir1 0.000 0.000 0.000
Ir2 0.000 0.500 0.287
Ir3 0.500 0.000 0.787
Ir4 0.500 0.500 0.500
Ru1 0.000 0.500 0.707
Ru2 0.500 0.000 0.207
Cl1 0.000 0.000 0.500
Cl2 0.500 0.500 0.000
# formation energy from raw total energies = 0.7442 eV/atom
# total magnetization = 0.00 μB per formula unit
# symmetry = No. 44
# DOS(E_F) = 7.096 states/eV/cell
# energy relative to the lowest polymorph listed for this composition = 121 kJ/mol of formula units

---

# Ir2RuCl, relaxed, DFT GGA-PBE
data_Ir2RuCl
_symmetry_space_group_name_H-M 'P 1'
_symmetry_Int_Tables_number 1
_symmetry_space_group_name_Hall 'P 1'
_cell_length_a 2.826
_cell_length_b 2.826
_cell_length_c 25.917
_cell_angle_alpha 90.00
_cell_angle_beta 90.00
_cell_angle_gamma 120.00
loop_
_atom_site_label
_atom_site_fract_x
_atom_site_fract_y
_atom_site_fract_z
Ir1 0.000 0.000 0.000
Ir2 0.000 0.000 0.250
Ir3 0.333 0.667 0.667
Ir4 0.333 0.667 0.916
Ir5 0.667 0.333 0.333
Ir6 0.667 0.333 0.583
Ru1 0.000 0.000 0.748
Ru2 0.333 0.667 0.415
Ru3 0.667 0.333 0.081
Cl1 0.000 0.000 0.490
Cl2 0.333 0.667 0.157
Cl3 0.667 0.333 0.823
# formation energy from raw total energies = 0.4310 eV/atom
# total magnetization = 0.00 μB per formula unit
# symmetry = No. 160
# DOS(E_F) = 18.458 states/eV/cell
# energy relative to the lowest polymorph listed for this composition = 0 kJ/mol of formula units

---

# Ir2RuCl, relaxed, DFT GGA-PBE
data_Ir2RuCl
_symmetry_space_group_name_H-M 'P 1'
_symmetry_Int_Tables_number 1
_symmetry_space_group_name_Hall 'P 1'
_cell_length_a 4.043
_cell_length_b 4.043
_cell_length_c 7.348
_cell_angle_alpha 90.00
_cell_angle_beta 90.00
_cell_angle_gamma 90.00
loop_
_atom_site_label
_atom_site_fract_x
_atom_site_fract_y
_atom_site_fract_z
Ir1 0.000 0.500 0.250
Ir2 0.000 0.500 0.750
Ir3 0.500 0.000 0.250
Ir4 0.500 0.000 0.750
Ru1 0.000 0.000 0.000
Ru2 0.500 0.500 0.500
Cl1 0.000 0.000 0.500
Cl2 0.500 0.500 0.000
# formation energy from raw total energies = 1.0222 eV/atom
# total magnetization = 0.00 μB per formula unit
# symmetry = No. 139
# DOS(E_F) = 6.614 states/eV/cell
# energy relative to the lowest polymorph listed for this composition = 228 kJ/mol of formula units

---

# Ir2RuCl, relaxed, DFT GGA-PBE
data_Ir2RuCl
_symmetry_space_group_name_H-M 'P 1'
_symmetry_Int_Tables_number 1
_symmetry_space_group_name_Hall 'P 1'
_cell_length_a 2.819
_cell_length_b 4.140
_cell_length_c 5.239
_cell_angle_alpha 90.00
_cell_angle_beta 104.55
_cell_angle_gamma 90.00
loop_
_atom_site_label
_atom_site_fract_x
_atom_site_fract_y
_atom_site_fract_z
Ir1 0.135 0.000 0.253
Ir2 0.865 0.000 0.747
Ru1 0.500 0.500 0.000
Cl1 0.500 0.500 0.500
# formation energy from raw total energies = 0.7138 eV/atom
# total magnetization = 0.00 μB per formula unit
# symmetry = No. 10
# DOS(E_F) = 4.445 states/eV/cell
# energy relative to the lowest polymorph listed for this composition = 109 kJ/mol of formula units

---

# Ir2RuCl, relaxed, DFT GGA-PBE
data_Ir2RuCl
_symmetry_space_group_name_H-M 'P 1'
_symmetry_Int_Tables_number 1
_symmetry_space_group_name_Hall 'P 1'
_cell_length_a 2.801
_cell_length_b 3.560
_cell_length_c 6.682
_cell_angle_alpha 90.00
_cell_angle_beta 90.00
_cell_angle_gamma 90.00
loop_
_atom_site_label
_atom_site_fract_x
_atom_site_fract_y
_atom_site_fract_z
Ir1 0.000 0.000 0.199
Ir2 0.000 0.000 0.801
Ru1 0.500 0.500 0.000
Cl1 0.500 0.500 0.500
# formation energy from raw total energies = 0.7066 eV/atom
# total magnetization = 0.00 μB per formula unit
# symmetry = No. 47
# DOS(E_F) = 4.448 states/eV/cell
# energy relative to the lowest polymorph listed for this composition = 106 kJ/mol of formula units

---

# Ir2RuCl, relaxed, DFT GGA-PBE
data_Ir2RuCl
_symmetry_space_group_name_H-M 'P 1'
_symmetry_Int_Tables_number 1
_symmetry_space_group_name_Hall 'P 1'
_cell_length_a 4.714
_cell_length_b 4.714
_cell_length_c 2.732
_cell_angle_alpha 90.00
_cell_angle_beta 90.00
_cell_angle_gamma 90.00
loop_
_atom_site_label
_atom_site_fract_x
_atom_site_fract_y
_atom_site_fract_z
Ir1 0.000 0.500 0.000
Ir2 0.500 0.000 0.000
Ru1 0.000 0.000 0.500
Cl1 0.500 0.500 0.500
# formation energy from raw total energies = 1.0352 eV/atom
# total magnetization = 0.00 μB per formula unit
# symmetry = No. 123
# DOS(E_F) = 6.339 states/eV/cell
# energy relative to the lowest polymorph listed for this composition = 233 kJ/mol of formula units

---

no.,electronic total energy (eV/cell)
1,-73.299
2,-71.711
3,-20.815
4,-29.854
5,-23.135
6,-29.465
7,-51.736
8,-81.361
9,-49.511
10,-25.989
11,-26.018
12,-24.704